Entry 1:
Ca2InHgMo at its PBEsol-relaxed geometry, computed with meta-GGA SCAN.

Calculated values
formation enthalpy at 0 K	0.6122	eV/atom

Geometry as CIF:
```
data_Ca2InHgMo
_chemical_formula_sum 'Ca2 In1 Hg1 Mo1'
_space_group_name_H-M_alt 'P 1'
_space_group_IT_number 1
_cell_length_a 5.245
_cell_length_b 5.292
_cell_length_c 5.292
_cell_angle_alpha 90.00
_cell_angle_beta 90.00
_cell_angle_gamma 90.00
loop_
_space_group_symop_operation_xyz
'x,y,z'
loop_
_atom_site_label
_atom_site_type_symbol
_atom_site_fract_x
_atom_site_fract_y
_atom_site_fract_z
Ca1 Ca 0.000 0.000 0.500
Ca2 Ca 0.000 0.500 0.000
In1 In 0.500 0.000 0.000
Hg1 Hg 0.500 0.500 0.500
Mo1 Mo 0.000 0.000 0.000
```

Entry 2:
HgSb2Se at its PBEsol-relaxed geometry, computed with meta-GGA SCAN.

Calculated values
formation energy (no corrections)	-0.02	eV per atom

Geometry as CIF:
```
data_HgSb2Se
_chemical_formula_sum 'Hg1 Sb2 Se1'
_space_group_name_H-M_alt 'P 1'
_space_group_IT_number 1
_cell_length_a 4.162
_cell_length_b 4.162
_cell_length_c 7.311
_cell_angle_alpha 73.46
_cell_angle_beta 73.46
_cell_angle_gamma 60.00
loop_
_space_group_symop_operation_xyz
'x,y,z'
loop_
_atom_site_label
_atom_site_type_symbol
_atom_site_fract_x
_atom_site_fract_y
_atom_site_fract_z
Se1 Se 0.505 0.505 0.486
Sb1 Sb 0.001 0.001 0.996
Sb2 Sb 0.750 0.750 0.750
Hg1 Hg 0.244 0.244 0.267
```

Entry 3:
BSeIBr2 at its PBEsol-relaxed geometry, computed with meta-GGA SCAN.

Calculated values
formation energy (no corrections)	1.32	eV per atom

Geometry as CIF:
```
data_BSeIBr2
_chemical_formula_sum 'B1 Se1 I1 Br2'
_space_group_name_H-M_alt 'P 1'
_space_group_IT_number 1
_cell_length_a 5.357
_cell_length_b 5.618
_cell_length_c 5.618
_cell_angle_alpha 90.00
_cell_angle_beta 90.00
_cell_angle_gamma 90.00
loop_
_space_group_symop_operation_xyz
'x,y,z'
loop_
_atom_site_label
_atom_site_type_symbol
_atom_site_fract_x
_atom_site_fract_y
_atom_site_fract_z
Se1 Se 0.500 0.000 0.000
Br1 Br 0.000 0.000 0.500
Br2 Br 0.000 0.500 0.000
I1 I 0.000 0.000 0.000
B1 B 0.500 0.500 0.500
```

Entry 4:
Mn2CoSi at its PBEsol-relaxed geometry, computed with meta-GGA SCAN.

Calculated values
formation energy (no corrections)	-0.41	eV per atom

Geometry as CIF:
```
data_Mn2CoSi
_chemical_formula_sum 'Mn2 Co1 Si1'
_space_group_name_H-M_alt 'P 1'
_space_group_IT_number 1
_cell_length_a 2.850
_cell_length_b 3.865
_cell_length_c 3.880
_cell_angle_alpha 90.00
_cell_angle_beta 90.00
_cell_angle_gamma 90.00
loop_
_space_group_symop_operation_xyz
'x,y,z'
loop_
_atom_site_label
_atom_site_type_symbol
_atom_site_fract_x
_atom_site_fract_y
_atom_site_fract_z
Si1 Si 0.500 0.500 0.000
Mn1 Mn 0.000 0.000 0.000
Mn2 Mn 0.500 0.000 0.500
Co1 Co 0.000 0.500 0.500
```

What did the fourth record say?
Mn2CoSi at its PBEsol-relaxed geometry, computed with meta-GGA SCAN.

Calculated values
formation energy (no corrections)	-0.41	eV per atom

Geometry as CIF:
```
data_Mn2CoSi
_chemical_formula_sum 'Mn2 Co1 Si1'
_space_group_name_H-M_alt 'P 1'
_space_group_IT_number 1
_cell_length_a 2.850
_cell_length_b 3.865
_cell_length_c 3.880
_cell_angle_alpha 90.00
_cell_angle_beta 90.00
_cell_angle_gamma 90.00
loop_
_space_group_symop_operation_xyz
'x,y,z'
loop_
_atom_site_label
_atom_site_type_symbol
_atom_site_fract_x
_atom_site_fract_y
_atom_site_fract_z
Si1 Si 0.500 0.500 0.000
Mn1 Mn 0.000 0.000 0.000
Mn2 Mn 0.500 0.000 0.500
Co1 Co 0.000 0.500 0.500
```